(1)
KCoPO2: optimized geometry, PBE with a Hubbard U.

a = 4.138 Å, b = 4.138 Å, c = 4.253 Å
α = 90.00°, β = 90.00°, γ = 90.00°
Each line ends with the local moment (μB).
Sites, in units of the cell vectors:
1 Co 0.000 0.000 0.000  1.97
2 O 0.500 0.000 0.000  0.01
3 O 0.000 0.500 0.000  0.01
4 K 0.500 0.500 0.500  0.00
5 P 0.000 0.000 0.500  -0.11

## Properties
- energy above the lowest structure with this stoichiometry (meV/atom) = 0.0
- space-group type = P4/mmm

(2)
KCo2P2O7: optimized geometry, PBE with a Hubbard U.

a = 5.505 Å, b = 5.505 Å, c = 8.335 Å
α = 70.72°, β = 70.72°, γ = 60.00°
Each line ends with the local moment (μB).
Sites, in units of the cell vectors:
1 K 0.500 0.500 0.500  0.00
2 O 0.629 0.158 0.266  0.02
3 O 0.053 0.842 0.734  0.02
4 O 0.371 0.053 0.734  0.02
5 O 0.842 0.371 0.734  0.02
6 O 0.158 0.947 0.266  0.02
7 O 0.000 0.000 0.000  0.00
8 O 0.947 0.629 0.266  0.02
9 Co 0.260 0.260 0.221  2.40
10 Co 0.740 0.740 0.779  2.40
11 P 0.069 0.069 0.792  0.01
12 P 0.931 0.931 0.208  0.01

## Properties
- E_tot (eV per atom) = -6.481
- space-group type = R32

(3)
KCoP2O: optimized geometry, PBE with a Hubbard U.

a = 5.404 Å, b = 5.404 Å, c = 4.417 Å
α = 90.00°, β = 90.00°, γ = 90.00°
Each line ends with the local moment (μB).
Sites, in units of the cell vectors:
1 Co 0.500 0.500 0.500  2.25
2 O 0.000 0.000 0.500  0.96
3 K 0.000 0.000 0.000  0.09
4 P 0.500 0.000 0.000  0.42
5 P 0.000 0.500 0.000  0.42

## Properties
- energy above the lowest structure with this stoichiometry (meV/atom) = 1574.5
- space-group type = P4/mmm